(1)
! KAgOs PBE-GGA relaxed; values from VASP
&SYSTEM
  ibrav = 0, nat = 3, ntyp = 3
/
ATOMIC_SPECIES
Os 190.23 Os.upf
K 39.10 K.upf
Ag 107.87 Ag.upf
ATOMIC_POSITIONS angstrom
Os 0.0000 3.0231 2.2005
K 2.6181 1.5115 0.8792
Ag 0.0000 0.0000 2.2047
CELL_PARAMETERS angstrom
5.2361 0.0000 0.0000
-2.6181 4.5346 0.0000
0.0000 0.0000 2.6422
! **Energy of formation**: 1.21 eV/atom
! **E above lowest polymorph**: 255 meV per atom
! **VASP energy**: -3.8457 eV/atom

(2)
! KAgOs4 PBE-GGA relaxed; values from VASP
&SYSTEM
  ibrav = 0, nat = 6, ntyp = 3
/
ATOMIC_SPECIES
Ag 107.87 Ag.upf
Os 190.23 Os.upf
K 39.10 K.upf
ATOMIC_POSITIONS angstrom
Ag 5.6405 5.6405 5.6405
Os 4.6970 4.6970 2.8237
Os 2.8237 4.6970 4.6970
Os 4.6970 2.8237 4.6970
Os 2.8237 2.8237 2.8237
K 0.0000 0.0000 0.0000
CELL_PARAMETERS angstrom
0.0000 3.7603 3.7603
3.7603 0.0000 3.7603
3.7603 3.7603 0.0000
! **Energy of formation**: 1.15 eV/atom
! **VASP energy**: -6.9956 eV/atom

(3)
! KAgOs PBE-GGA relaxed; values from VASP
&SYSTEM
  ibrav = 0, nat = 3, ntyp = 3
/
ATOMIC_SPECIES
Ag 107.87 Ag.upf
Os 190.23 Os.upf
K 39.10 K.upf
ATOMIC_POSITIONS angstrom
Ag 0.6075 0.2770 0.0000
Os 6.4960 2.9613 0.0000
K 3.5334 1.6108 0.0000
CELL_PARAMETERS angstrom
6.4242 -0.0012 -0.0015
4.2127 4.8501 0.0015
-4.7602 -3.6492 2.3010
! **Energy of formation**: 0.96 eV/atom
! **E above lowest polymorph**: 0 meV per atom
! **VASP energy**: -4.1007 eV/atom

(4)
! KAgOs2 PBE-GGA relaxed; values from VASP
&SYSTEM
  ibrav = 0, nat = 4, ntyp = 3
/
ATOMIC_SPECIES
Os 190.23 Os.upf
Ag 107.87 Ag.upf
K 39.10 K.upf
ATOMIC_POSITIONS angstrom
Os 0.7185 0.0384 0.1071
Os 3.0754 0.1643 0.4585
Ag 1.9007 -2.1784 1.0748
K 5.6945 -1.9757 1.6405
CELL_PARAMETERS angstrom
-0.3738 -1.4980 3.0439
0.3813 -3.0615 -1.4599
7.5877 0.4055 1.1313
! **Energy of formation**: 1.62 eV/atom
! **E above lowest polymorph**: 984 meV per atom
! **VASP energy**: -4.9866 eV/atom

(5)
! KAgOs PBE-GGA relaxed; values from VASP
&SYSTEM
  ibrav = 0, nat = 3, ntyp = 3
/
ATOMIC_SPECIES
K 39.10 K.upf
Os 190.23 Os.upf
Ag 107.87 Ag.upf
ATOMIC_POSITIONS angstrom
K -0.3577 -3.2537 0.1228
Os -0.5210 -5.2045 2.7413
Ag -2.9164 -6.6358 3.6681
CELL_PARAMETERS angstrom
-0.1919 -1.2971 -2.4990
2.3710 -0.2034 1.5171
-2.9871 -6.7967 3.7571
! **Energy of formation**: 0.98 eV/atom
! **E above lowest polymorph**: 21 meV per atom
! **VASP energy**: -4.0801 eV/atom

(6)
! KAgOs2 PBE-GGA relaxed; values from VASP
&SYSTEM
  ibrav = 0, nat = 4, ntyp = 3
/
ATOMIC_SPECIES
K 39.10 K.upf
Ag 107.87 Ag.upf
Os 190.23 Os.upf
ATOMIC_POSITIONS angstrom
K 1.3115 2.4182 5.1346
Ag 1.3115 2.4182 1.7115
Os 0.0000 0.0000 2.8635
Os 0.0000 0.0000 0.5595
CELL_PARAMETERS angstrom
2.6231 0.0000 0.0000
0.0000 4.8364 0.0000
0.0000 0.0000 6.8461
! **Energy of formation**: 1.16 eV/atom
! **E above lowest polymorph**: 527 meV per atom
! **VASP energy**: -5.4438 eV/atom

(7)
! KAgOs2 PBE-GGA relaxed; values from VASP
&SYSTEM
  ibrav = 0, nat = 4, ntyp = 3
/
ATOMIC_SPECIES
Ag 107.87 Ag.upf
Os 190.23 Os.upf
K 39.10 K.upf
ATOMIC_POSITIONS angstrom
Ag -1.4847 -2.0411 1.7494
Os 2.0081 -1.7955 0.6562
Os 0.0000 0.0000 0.0000
K 0.6460 -1.3087 3.3652
CELL_PARAMETERS angstrom
-0.1225 -2.5279 -0.9596
4.1388 -1.0631 2.2721
-2.8468 -1.5544 4.4584
! **Energy of formation**: 1.17 eV/atom
! **E above lowest polymorph**: 538 meV per atom
! **VASP energy**: -5.4331 eV/atom

(8)
! K2AgOs2 PBE-GGA relaxed; values from VASP
&SYSTEM
  ibrav = 0, nat = 5, ntyp = 3
/
ATOMIC_SPECIES
Ag 107.87 Ag.upf
Os 190.23 Os.upf
K 39.10 K.upf
ATOMIC_POSITIONS angstrom
Ag 0.0000 0.0000 0.0000
Os -3.4099 -3.1610 -1.2169
Os -7.2231 -6.1170 -2.2747
K -5.0524 -5.7161 0.3122
K -5.5806 -3.5618 -3.8038
CELL_PARAMETERS angstrom
-3.0019 -1.4825 -5.7020
-1.9455 -5.7911 2.5299
-5.6856 -2.0044 -0.3195
! **Energy of formation**: 1.61 eV/atom
! **E above lowest polymorph**: 426 meV per atom
! **VASP energy**: -3.8870 eV/atom

(9)
! KAgOs2 PBE-GGA relaxed; values from VASP
&SYSTEM
  ibrav = 0, nat = 4, ntyp = 3
/
ATOMIC_SPECIES
Os 190.23 Os.upf
K 39.10 K.upf
Ag 107.87 Ag.upf
ATOMIC_POSITIONS angstrom
Os -15.1657 -5.8261 2.5750
Os -29.7179 -11.4165 5.0459
K -22.4418 -8.6213 3.8104
Ag -7.4806 -2.8738 1.2701
CELL_PARAMETERS angstrom
-9.9433 -4.5373 0.2785
-9.4598 -4.6045 2.9739
-10.5193 -2.3532 1.8282
! **Energy of formation**: 0.99 eV/atom
! **E above lowest polymorph**: 357 meV per atom
! **VASP energy**: -5.6141 eV/atom

(10)
! KAgOs PBE-GGA relaxed; values from VASP
&SYSTEM
  ibrav = 0, nat = 3, ntyp = 3
/
ATOMIC_SPECIES
Os 190.23 Os.upf
Ag 107.87 Ag.upf
K 39.10 K.upf
ATOMIC_POSITIONS angstrom
Os 10.1354 2.4871 0.0000
Ag 0.2632 0.0646 0.0000
K 5.0628 1.2423 0.0000
CELL_PARAMETERS angstrom
8.1915 0.0191 0.0000
7.2699 3.7749 0.0000
-7.7307 -1.8970 1.9336
! **Energy of formation**: 1.00 eV/atom
! **E above lowest polymorph**: 41 meV per atom
! **VASP energy**: -4.0593 eV/atom

(11)
! KAgOs2 PBE-GGA relaxed; values from VASP
&SYSTEM
  ibrav = 0, nat = 4, ntyp = 3
/
ATOMIC_SPECIES
Os 190.23 Os.upf
Ag 107.87 Ag.upf
K 39.10 K.upf
ATOMIC_POSITIONS angstrom
Os -1.3714 -2.4783 -2.6768
Os 0.0000 0.0000 0.0000
Ag -1.6075 0.5433 -2.5165
K -2.1212 -2.1567 0.2465
CELL_PARAMETERS angstrom
-0.8577 0.2217 -5.4399
-1.8852 -5.1784 0.0862
-2.3572 0.8649 0.4069
! **Energy of formation**: 1.80 eV/atom
! **E above lowest polymorph**: 1169 meV per atom
! **VASP energy**: -4.8017 eV/atom

(12)
! KAgOs2 PBE-GGA relaxed; values from VASP
&SYSTEM
  ibrav = 0, nat = 4, ntyp = 3
/
ATOMIC_SPECIES
Ag 107.87 Ag.upf
K 39.10 K.upf
Os 190.23 Os.upf
ATOMIC_POSITIONS angstrom
Ag 3.5845 2.6671 0.0000
K 0.9401 2.1090 1.5841
Os 3.2743 -0.2194 1.5209
Os 6.4712 4.8150 0.0000
CELL_PARAMETERS angstrom
5.3652 -0.0730 -0.0632
1.4714 5.1600 0.0632
-2.8215 -3.3456 3.1050
! **Energy of formation**: 1.32 eV/atom
! **E above lowest polymorph**: 692 meV per atom
! **VASP energy**: -5.2789 eV/atom

Question: Which value of energy of formation does entry 2 give?
Answer: 1.15 eV/atom

Question: What is the VASP energy in the fourth record?
Answer: -4.9866 eV/atom

Question: energy of formation of number 7 (KAgOs2)?
Answer: 1.17 eV/atom

Question: What is the VASP energy in the seventh record?
Answer: -5.4331 eV/atom